Record 1
Here is an optimized crystal structure of TiBeCo2 from the Alexandria database. Energies are from PBE.

abc: 3.8268 3.8268 2.9825
angles: 90.00 90.00 90.00
Closest atoms and distances in Å follow each position.
Space group P4/mmm (No. 123)
One atom of each set of equivalent atoms:
Ti  0.0000  0.0000  0.0000 x1  8 Co 2.43, 4 Be 2.71
Be  0.5000  0.5000  0.0000 x1  8 Co 2.43, 4 Ti 2.71
Co  0.0000  0.5000  0.5000 x2  4 Be 2.43, 4 Ti 2.43, 4 Co 2.71

Results
Volume, A^3/atom: 10.92
Calculated formation energy, meV per atom: -388



Record 2
Here is an optimized crystal structure of Cs5Au4F from the Alexandria database. Energies are from PBE.

abc: 11.2301 11.2301 7.3839
angles: 90.00 90.00 90.00
Closest atoms and distances in Å follow each position.
Space group I4 (No. 79)
One atom of each set of equivalent atoms:
Cs  0.0000  0.0000  0.0000 x2  1 F 2.88
Cs  0.0886  0.7331  0.5599 x8  1 F 3.18
Au  0.0909  0.6989  0.0631 x8  6 Cs 3.56-3.84
F  0.0000  0.0000  0.6102 x2  5 Cs 2.88-3.18

Results
Formation energy (no corrections), eV per atom: -0.758
Volume, A^3/atom: 46.56



Record 3
Here is an optimized crystal structure of Zr2Tl3CrSe6 from the Alexandria database. Energies are from PBE.

abc: 6.4897 11.2276 8.8562
angles: 90.00 103.90 90.00
Closest atoms and distances in Å follow each position.
Space group C2/m (No. 12)
One atom of each set of equivalent atoms:
Zr  0.0000  0.1666  0.0000 x4  6 Se 2.71
Tl  0.0000  0.0000  0.5000 x2  6 Se 3.46-3.53, 6 Tl 3.74-3.75
Tl  0.0000  0.3344  0.5000 x4  6 Se 3.44-3.55, 6 Tl 3.72-3.76
Cr  0.0000  0.5000  0.0000 x2  6 Se 2.60
Se  0.2194  0.3406  0.1825 x8  1 Cr 2.60, 2 Zr 2.71
Se  0.2413  0.0000  0.1826 x4  1 Cr 2.60, 2 Zr 2.71

Results
Formation energy (no corrections), eV per atom: -0.818
Volume, A^3/atom: 26.10



Record 4
Here is an optimized crystal structure of BeRuCl2 from the Alexandria database. Energies are from PBE.

abc: 6.2690 6.2690 6.2690
angles: 90.00 90.00 90.00
Closest atoms and distances in Å follow each position.
Space group Fm-3m (No. 225)
One atom of each set of equivalent atoms:
Be  0.0000  0.0000  0.0000 x4  8 Cl 2.71
Ru  0.0000  0.0000  0.5000 x4  8 Cl 2.71
Cl  0.2500  0.2500  0.2500 x8  4 Ru 2.71, 4 Be 2.71

Results
Formation energy (no corrections), eV per atom: 0.724
Volume, A^3/atom: 15.40
Distance to the lowest polymorph of the same formula, kJ/mol of formula units: 371



Record 5
Here is an optimized crystal structure of Al2In2Si from the Alexandria database. Energies are from PBE.

abc: 6.6249 6.6249 4.9899
angles: 90.00 90.00 90.00
Closest atoms and distances in Å follow each position.
Space group P4/mbm (No. 127)
One atom of each set of equivalent atoms:
Al  0.1415  0.3585  0.0000 x4  2 Si 2.55, 1 Al 2.65
In  0.1783  0.6783  0.5000 x4  6 Al 3.01-3.28, 1 In 3.34
Si  0.0000  0.0000  0.0000 x2  4 Al 2.55

Results
Formation energy (no corrections), eV per atom: 0.234
Volume, A^3/atom: 21.90
Distance to the lowest polymorph of the same formula, kJ/mol of formula units: 0



Record 6
Here is an optimized crystal structure of ZrZn2HgBr from the Alexandria database. Energies are from PBE.

abc: 5.4999 5.4999 5.6872
angles: 90.00 90.00 90.00
Closest atoms and distances in Å follow each position.
Space group P4/mmm (No. 123)
One atom of each set of equivalent atoms:
Zr  0.0000  0.0000  0.0000 x1  4 Zn 2.75, 2 Hg 2.84
Zn  0.0000  0.5000  0.0000 x2  2 Zr 2.75
Hg  0.0000  0.0000  0.5000 x1  2 Zr 2.84
Br  0.5000  0.5000  0.5000 x1  4 Hg 3.89, 8 Zn 3.96

Results
Formation energy (no corrections), eV per atom: 0.609
Volume, A^3/atom: 34.41



Record 7
Here is an optimized crystal structure of ScNi2Pd2 from the Alexandria database. Energies are from PBE.

abc: 6.5003 6.5003 3.5071
angles: 90.00 90.00 90.00
Closest atoms and distances in Å follow each position.
Space group P4/mbm (No. 127)
One atom of each set of equivalent atoms:
Sc  0.0000  0.0000  0.0000 x2  4 Ni 2.55
Ni  0.1306  0.3694  0.0000 x4  1 Ni 2.40, 2 Sc 2.55, 6 Pd 2.57-2.61
Pd  0.1645  0.6645  0.5000 x4  6 Ni 2.57-2.61

Results
Volume, A^3/atom: 14.82
Distance to the lowest polymorph of the same formula, kJ/mol of formula units: 0
Calculated formation energy, meV per atom: -313



Record 8
Here is an optimized crystal structure of PmHoCdAg from the Alexandria database. Energies are from PBE.

abc: 3.7080 3.7080 7.5236
angles: 90.00 90.00 90.00
Closest atoms and distances in Å follow each position.
Space group P4mm (No. 99)
One atom of each set of equivalent atoms:
Pm  0.0000  0.0000  0.0000 x1  4 Ag 3.28, 4 Cd 3.31, 1 Ho 3.64
Ho  0.0000  0.0000  0.4840 x1  4 Ag 3.11, 4 Cd 3.22
Cd  0.5000  0.5000  0.7315 x1  4 Ho 3.22, 4 Pm 3.31, 1 Ag 3.54
Ag  0.5000  0.5000  0.2616 x1  4 Ho 3.11, 4 Pm 3.28

Results
Volume, A^3/atom: 25.86
Distance to the lowest polymorph of the same formula, kJ/mol of formula units: 0
Calculated formation energy, meV per atom: -304